First-principles (PBE-GGA) data for crystalline MgAl2Ag at its relaxed geometry, as listed in Alexandria.

Values from the calculation:
N(E_F): 0.4619 states/eV/atom
DFT formation energy: -0.12 kcal/mol of atoms
total magnetization: 0.00 μB per atom

a = 5.7593 Å, b = 8.5277 Å, c = 2.9281 Å
α = 90.00°, β = 90.00°, γ = 90.00°
Atoms (fractional coordinates):
Mg  0.0000  0.0000  0.0000
Mg  0.5000  0.5000  0.0000
Al  0.2500  0.2500  0.5000
Al  0.2500  0.7500  0.5000
Al  0.7500  0.2500  0.5000
Al  0.7500  0.7500  0.5000
Ag  0.0000  0.5000  0.0000
Ag  0.5000  0.0000  0.0000